1.
DFT (PBE-GGA) results for CaBeSi2 after structural relaxation.

For the magnetization, the calculation gives 0.0 μB per cell. The formation energy without anion corrections comes out at 0.006 eV/atom. The theoretical density comes out at 2.42 g cm⁻³. The calculation puts the total energy at -16.5 eV per formula unit.

Cell: 3.105 3.832 6.064 Å, 90.00 90.00 90.00°
Fractional positions:
Ca: 0.000 0.000 0.000
Be: 0.500 0.000 0.500
Si: 0.500 0.500 0.300
Si: 0.500 0.500 0.700

---

2.
DFT (PBE-GGA) results for Ho2PtO after structural relaxation.

For the magnetization, the calculation gives 0.0 μB per cell. The energy relative to the lowest polymorph listed for this composition comes out at 0.48 eV/f.u. The formation energy without anion corrections comes out at -1.863 eV/atom. The theoretical density comes out at 11.95 g cm⁻³. The calculation puts the total energy at -27.6 eV per formula unit.

Cell: 6.977 6.977 6.977 Å, 29.98 29.98 29.98°
Fractional positions:
Ho: 0.238 0.238 0.238
Ho: 0.762 0.762 0.762
Pt: 0.000 0.000 0.000
O: 0.500 0.500 0.500

---

3.
DFT (PBE-GGA) results for Pr4YTl4 after structural relaxation.

For the magnetization, the calculation gives 0.0 μB per cell. The theoretical density comes out at 8.70 g cm⁻³. The calculation puts the total energy at -36.9 eV per formula unit.

Cell: 9.419 9.419 6.325 Å, 90.00 90.00 90.00°
Fractional positions:
Pr: 0.081 0.825 0.117
Pr: 0.175 0.581 0.617
Pr: 0.325 0.919 0.617
Pr: 0.419 0.675 0.117
Pr: 0.581 0.325 0.883
Pr: 0.675 0.081 0.383
Pr: 0.825 0.419 0.383
Pr: 0.919 0.175 0.883
Y: 0.250 0.250 0.750
Y: 0.750 0.750 0.250
Tl: 0.048 0.150 0.374
Tl: 0.150 0.452 0.126
Tl: 0.350 0.048 0.126
Tl: 0.452 0.350 0.374
Tl: 0.548 0.650 0.626
Tl: 0.650 0.952 0.874
Tl: 0.850 0.548 0.874
Tl: 0.952 0.850 0.626

---

4.
DFT (PBE-GGA) results for Ho3Mg2Sc2 after structural relaxation.

For the magnetization, the calculation gives 0.0 μB per cell. The theoretical density comes out at 5.52 g cm⁻³. The calculation puts the total energy at -29.5 eV per formula unit.

Cell: 11.439 11.439 3.380 Å, 90.00 90.00 154.48°
Fractional positions:
Ho: 0.000 0.000 0.000
Ho: 0.154 0.846 0.000
Ho: 0.846 0.154 0.000
Mg: 0.428 0.572 0.500
Mg: 0.572 0.428 0.500
Sc: 0.285 0.715 0.500
Sc: 0.715 0.285 0.500

---

5.
DFT (PBE-GGA) results for Tm2MgCd6 after structural relaxation.

For the magnetization, the calculation gives 0.0 μB per cell. The energy relative to the lowest polymorph listed for this composition comes out at 0.43 eV/f.u. The theoretical density comes out at 8.08 g cm⁻³. The calculation puts the total energy at -17.5 eV per formula unit.

Cell: 6.143 6.143 6.516 Å, 90.22 90.22 60.06°
Fractional positions:
Tm: 0.167 0.167 0.375
Tm: 0.833 0.833 0.625
Mg: 0.500 0.500 0.500
Cd: 0.150 0.675 0.174
Cd: 0.325 0.325 0.824
Cd: 0.325 0.850 0.826
Cd: 0.675 0.150 0.174
Cd: 0.675 0.675 0.176
Cd: 0.850 0.325 0.826